No. 1
{
  "formula": "Rb2ZrTiNb",
  "functional": "GGA-PBEsol",
  "state": "relaxed",
  "lattice_angstrom": [[6.182, 0.000, 0.000], [0.000, 6.182, 0.000], [0.000, 0.000, 4.715]],
  "species": ["Rb", "Rb", "Zr", "Ti", "Nb"],
  "fractional_positions": [[0.000, 0.500, 0.000], [0.500, 0.000, 0.000], [0.000, 0.000, 0.000], [0.000, 0.000, 0.500], [0.500, 0.500, 0.500]],
  "dos_at_fermi_per_ev_fu": 7.2,
  "ef_ev_per_atom": 2.20,
  "magnetic_moment_mub_per_fu": 3.454
}


No. 2
{
  "formula": "RbYNb3",
  "functional": "GGA-PBEsol",
  "state": "relaxed",
  "lattice_angstrom": [[4.852, 0.000, 0.000], [0.000, 4.852, 0.000], [0.000, 0.000, 4.852]],
  "species": ["Rb", "Y", "Nb", "Nb", "Nb"],
  "fractional_positions": [[0.000, 0.000, 0.000], [0.500, 0.500, 0.500], [0.000, 0.000, 0.500], [0.000, 0.500, 0.000], [0.500, 0.000, 0.000]],
  "dos_at_fermi_per_ev_fu": 3.4,
  "ef_ev_per_atom": 2.23,
  "magnetic_moment_mub_per_fu": 0.000
}


No. 3
{
  "formula": "Rb2ZrNb",
  "functional": "GGA-PBEsol",
  "state": "relaxed",
  "lattice_angstrom": [[0.000, 4.034, 4.034], [4.034, 0.000, 4.034], [4.034, 4.034, 0.000]],
  "species": ["Rb", "Rb", "Zr", "Nb"],
  "fractional_positions": [[0.250, 0.250, 0.250], [0.750, 0.750, 0.750], [0.000, 0.000, 0.000], [0.500, 0.500, 0.500]],
  "dos_at_fermi_per_ev_fu": 7.2,
  "ef_ev_per_atom": 2.11,
  "magnetic_moment_mub_per_fu": 1.559
}


No. 4
{
  "formula": "NbReRu3",
  "functional": "GGA-PBEsol",
  "state": "relaxed",
  "lattice_angstrom": [[4.561, 0.000, 0.000], [0.000, 4.561, 0.000], [0.000, 0.000, 4.561]],
  "species": ["Nb", "Re", "Ru", "Ru", "Ru"],
  "fractional_positions": [[0.000, 0.000, 0.000], [0.500, 0.500, 0.500], [0.000, 0.500, 0.500], [0.500, 0.000, 0.500], [0.500, 0.500, 0.000]],
  "dos_at_fermi_per_ev_fu": 7.4,
  "ef_ev_per_atom": 1.72,
  "magnetic_moment_mub_per_fu": 0.783
}


No. 5
{
  "formula": "Nb2ReRu",
  "functional": "GGA-PBEsol",
  "state": "relaxed",
  "lattice_angstrom": [[0.000, 3.161, 3.161], [3.161, 0.000, 3.161], [3.161, 3.161, 0.000]],
  "species": ["Nb", "Nb", "Re", "Ru"],
  "fractional_positions": [[0.250, 0.250, 0.250], [0.750, 0.750, 0.750], [0.000, 0.000, 0.000], [0.500, 0.500, 0.500]],
  "dos_at_fermi_per_ev_fu": 3.0,
  "ef_ev_per_atom": -0.19,
  "magnetic_moment_mub_per_fu": 0.000
}


No. 6
{
  "formula": "Y2NbReS",
  "functional": "GGA-PBEsol",
  "state": "relaxed",
  "lattice_angstrom": [[5.080, 0.000, 0.000], [0.000, 5.080, 0.000], [0.000, 0.000, 4.289]],
  "species": ["Y", "Y", "Nb", "Re", "S"],
  "fractional_positions": [[0.000, 0.500, 0.000], [0.500, 0.000, 0.000], [0.000, 0.000, 0.500], [0.500, 0.500, 0.500], [0.500, 0.500, 0.000]],
  "dos_at_fermi_per_ev_fu": 4.7,
  "magnetic_moment_mub_per_fu": 1.730,
  "formation_energy_uncorrected_ev_per_atom": 0.117
}


No. 7
{
  "formula": "NbTlRe2Se",
  "functional": "GGA-PBEsol",
  "state": "relaxed",
  "lattice_angstrom": [[4.552, 0.000, 0.000], [0.000, 4.552, 0.000], [0.000, 0.000, 4.695]],
  "species": ["Nb", "Tl", "Re", "Re", "Se"],
  "fractional_positions": [[0.000, 0.000, 0.000], [0.500, 0.500, 0.000], [0.000, 0.500, 0.500], [0.500, 0.000, 0.500], [0.000, 0.000, 0.500]],
  "dos_at_fermi_per_ev_fu": 4.5,
  "magnetic_moment_mub_per_fu": 0.002,
  "formation_energy_uncorrected_ev_per_atom": 1.328
}


No. 8
{
  "formula": "ZrNbRe2Si",
  "functional": "GGA-PBEsol",
  "state": "relaxed",
  "lattice_angstrom": [[4.396, 0.000, 0.000], [0.000, 4.396, 0.000], [0.000, 0.000, 4.709]],
  "species": ["Zr", "Nb", "Re", "Re", "Si"],
  "fractional_positions": [[0.000, 0.000, 0.000], [0.500, 0.500, 0.000], [0.000, 0.500, 0.500], [0.500, 0.000, 0.500], [0.000, 0.000, 0.500]],
  "dos_at_fermi_per_ev_fu": 6.2,
  "magnetic_moment_mub_per_fu": 0.001,
  "formation_energy_uncorrected_ev_per_atom": 0.816
}


No. 9
{
  "formula": "TaNbRe2",
  "functional": "GGA-PBEsol",
  "state": "relaxed",
  "lattice_angstrom": [[0.000, 3.172, 3.172], [3.172, 0.000, 3.172], [3.172, 3.172, 0.000]],
  "species": ["Ta", "Nb", "Re", "Re"],
  "fractional_positions": [[0.000, 0.000, 0.000], [0.500, 0.500, 0.500], [0.250, 0.250, 0.250], [0.750, 0.750, 0.750]],
  "dos_at_fermi_per_ev_fu": 1.1,
  "ef_ev_per_atom": -0.33,
  "magnetic_moment_mub_per_fu": 0.000
}


No. 10
{
  "formula": "TaNb2Re",
  "functional": "GGA-PBEsol",
  "state": "relaxed",
  "lattice_angstrom": [[0.000, 3.216, 3.216], [3.216, 0.000, 3.216], [3.216, 3.216, 0.000]],
  "species": ["Ta", "Nb", "Nb", "Re"],
  "fractional_positions": [[0.000, 0.000, 0.000], [0.250, 0.250, 0.250], [0.750, 0.750, 0.750], [0.500, 0.500, 0.500]],
  "dos_at_fermi_per_ev_fu": 3.2,
  "ef_ev_per_atom": -0.17,
  "magnetic_moment_mub_per_fu": 0.000
}


No. 11
{
  "formula": "Nb2ReTc",
  "functional": "GGA-PBEsol",
  "state": "relaxed",
  "lattice_angstrom": [[0.000, 3.169, 3.169], [3.169, 0.000, 3.169], [3.169, 3.169, 0.000]],
  "species": ["Nb", "Nb", "Re", "Tc"],
  "fractional_positions": [[0.250, 0.250, 0.250], [0.750, 0.750, 0.750], [0.000, 0.000, 0.000], [0.500, 0.500, 0.500]],
  "dos_at_fermi_per_ev_fu": 1.0,
  "ef_ev_per_atom": -0.28,
  "magnetic_moment_mub_per_fu": 0.000
}


No. 12
{
  "formula": "NbRe2Tc",
  "functional": "GGA-PBEsol",
  "state": "relaxed",
  "lattice_angstrom": [[0.000, 3.122, 3.122], [3.122, 0.000, 3.122], [3.122, 3.122, 0.000]],
  "species": ["Nb", "Re", "Re", "Tc"],
  "fractional_positions": [[0.000, 0.000, 0.000], [0.250, 0.250, 0.250], [0.750, 0.750, 0.750], [0.500, 0.500, 0.500]],
  "dos_at_fermi_per_ev_fu": 4.1,
  "ef_ev_per_atom": 0.09,
  "magnetic_moment_mub_per_fu": 0.000
}


No. 13
{
  "formula": "YNb2ReTc",
  "functional": "GGA-PBEsol",
  "state": "relaxed",
  "lattice_angstrom": [[4.655, 0.000, 0.000], [0.000, 4.655, 0.000], [0.000, 0.000, 5.001]],
  "species": ["Y", "Nb", "Nb", "Re", "Tc"],
  "fractional_positions": [[0.000, 0.000, 0.000], [0.000, 0.500, 0.500], [0.500, 0.000, 0.500], [0.500, 0.500, 0.000], [0.000, 0.000, 0.500]],
  "dos_at_fermi_per_ev_fu": 6.1,
  "ef_ev_per_atom": 1.48,
  "magnetic_moment_mub_per_fu": 0.007
}


No. 14
{
  "formula": "NbReTe3",
  "functional": "GGA-PBEsol",
  "state": "relaxed",
  "lattice_angstrom": [[5.325, 0.000, 0.000], [0.000, 5.325, 0.000], [0.000, 0.000, 5.325]],
  "species": ["Nb", "Re", "Te", "Te", "Te"],
  "fractional_positions": [[0.000, 0.000, 0.000], [0.500, 0.500, 0.500], [0.000, 0.000, 0.500], [0.000, 0.500, 0.000], [0.500, 0.000, 0.000]],
  "dos_at_fermi_per_ev_fu": 4.2,
  "magnetic_moment_mub_per_fu": 5.033,
  "formation_energy_uncorrected_ev_per_atom": 1.428
}


No. 15
{
  "formula": "NbRe2W2",
  "functional": "GGA-PBEsol",
  "state": "relaxed",
  "lattice_angstrom": [[-2.037, 2.037, 5.476], [2.037, -2.037, 5.476], [2.037, 2.037, -5.476]],
  "species": ["Nb", "Re", "Re", "W", "W"],
  "fractional_positions": [[0.000, 0.000, 0.000], [0.250, 0.750, 0.500], [0.750, 0.250, 0.500], [0.384, 0.384, 0.000], [0.616, 0.616, 0.000]],
  "dos_at_fermi_per_ev_fu": 5.1,
  "ef_ev_per_atom": 0.82,
  "magnetic_moment_mub_per_fu": 0.000
}


No. 16
{
  "formula": "ZrNbReW2",
  "functional": "GGA-PBEsol",
  "state": "relaxed",
  "lattice_angstrom": [[4.688, 0.000, 0.000], [0.000, 4.688, 0.000], [0.000, 0.000, 4.728]],
  "species": ["Zr", "Nb", "Re", "W", "W"],
  "fractional_positions": [[0.000, 0.000, 0.000], [0.500, 0.500, 0.500], [0.500, 0.500, 0.000], [0.000, 0.500, 0.500], [0.500, 0.000, 0.500]],
  "dos_at_fermi_per_ev_fu": 7.4,
  "ef_ev_per_atom": 1.90,
  "magnetic_moment_mub_per_fu": 0.001
}


No. 17
{
  "formula": "Nb4Rh",
  "functional": "GGA-PBEsol",
  "state": "relaxed",
  "lattice_angstrom": [[0.000, 2.239, 11.165], [1.682, 0.000, 11.165], [1.682, 2.239, 0.000]],
  "species": ["Nb", "Nb", "Nb", "Nb", "Rh"],
  "fractional_positions": [[0.093, 0.093, 0.907], [0.303, 0.303, 0.697], [0.697, 0.697, 0.303], [0.907, 0.907, 0.093], [0.500, 0.500, 0.500]],
  "dos_at_fermi_per_ev_fu": 5.9,
  "ef_ev_per_atom": -0.12,
  "magnetic_moment_mub_per_fu": 0.000
}


No. 18
{
  "formula": "Nb3Rh",
  "functional": "GGA-PBEsol",
  "state": "relaxed",
  "lattice_angstrom": [[5.123, 0.000, 0.000], [0.000, 5.123, 0.000], [0.000, 0.000, 5.123]],
  "species": ["Nb", "Nb", "Nb", "Nb", "Nb", "Nb", "Rh", "Rh"],
  "fractional_positions": [[0.000, 0.250, 0.500], [0.000, 0.750, 0.500], [0.250, 0.500, 0.000], [0.500, 0.000, 0.250], [0.500, 0.000, 0.750], [0.750, 0.500, 0.000], [0.000, 0.000, 0.000], [0.500, 0.500, 0.500]],
  "dos_at_fermi_per_ev_fu": 2.8,
  "ef_ev_per_atom": -0.26,
  "magnetic_moment_mub_per_fu": 0.000
}


No. 19
{
  "formula": "NbRuRh3",
  "functional": "GGA-PBEsol",
  "state": "relaxed",
  "lattice_angstrom": [[4.589, 0.000, 0.000], [0.000, 4.589, 0.000], [0.000, 0.000, 4.589]],
  "species": ["Nb", "Ru", "Rh", "Rh", "Rh"],
  "fractional_positions": [[0.000, 0.000, 0.000], [0.500, 0.500, 0.500], [0.000, 0.000, 0.500], [0.000, 0.500, 0.000], [0.500, 0.000, 0.000]],
  "dos_at_fermi_per_ev_fu": 4.8,
  "ef_ev_per_atom": 1.62,
  "magnetic_moment_mub_per_fu": 3.127
}


No. 20
{
  "formula": "Nb3RhS",
  "functional": "GGA-PBEsol",
  "state": "relaxed",
  "lattice_angstrom": [[4.769, 0.000, 0.000], [0.000, 4.769, 0.000], [0.000, 0.000, 4.769]],
  "species": ["Nb", "Nb", "Nb", "Rh", "S"],
  "fractional_positions": [[0.000, 0.000, 0.500], [0.000, 0.500, 0.000], [0.500, 0.000, 0.000], [0.000, 0.000, 0.000], [0.500, 0.500, 0.500]],
  "dos_at_fermi_per_ev_fu": 6.7,
  "magnetic_moment_mub_per_fu": 0.000,
  "formation_energy_uncorrected_ev_per_atom": 1.179
}